# 1
VASP calculation (PBE) on crystalline Tl2CdTc at its relaxed geometry.

extended XYZ file:
```
16
Lattice="4.388 0.000 0.000 0.000 4.388 0.000 0.000 0.000 20.106" Properties=species:S:1:pos:R:3 pbc="T T T"
Tl 1.013 1.097 2.513
Tl 1.097 3.208 7.540
Tl 1.097 3.375 17.593
Tl 1.181 1.097 12.566
Tl 3.208 3.291 12.566
Tl 3.291 1.013 17.593
Tl 3.291 1.181 7.540
Tl 3.375 3.291 2.513
Cd 0.000 0.000 10.053
Cd 0.000 2.194 15.080
Cd 2.194 0.000 5.027
Cd 2.194 2.194 0.000
Tc 0.000 0.000 0.000
Tc 0.000 2.194 5.027
Tc 2.194 0.000 15.080
Tc 2.194 2.194 10.053
```

Properties
* excess energy over the best structure of this formula in the dataset: 0.335 eV per atom
* total magnetization: 0.457 μB per atom
* ΔH_f (0 K): 786 meV per atom

***

# 2
VASP calculation (PBE) on crystalline PBr2 at its relaxed geometry.

extended XYZ file:
```
12
Lattice="6.600 0.000 0.000 0.000 6.600 0.000 0.000 0.000 6.449" Properties=species:S:1:pos:R:3 pbc="T T T"
P 0.000 0.000 1.612
P 0.000 0.000 4.837
P 3.300 3.300 1.612
P 3.300 3.300 4.837
Br 1.309 1.991 0.000
Br 1.309 4.609 3.225
Br 1.991 1.309 3.225
Br 1.991 5.291 0.000
Br 4.609 1.309 0.000
Br 4.609 5.291 3.225
Br 5.291 1.991 3.225
Br 5.291 4.609 0.000
```

Properties
* total magnetization: 0.000 μB per atom
* formation energy (no corrections): 0.48 eV/atom

***

# 3
VASP calculation (PBE) on crystalline AcLaGaPt at its relaxed geometry.

extended XYZ file:
```
8
Lattice="4.545 0.000 0.000 0.000 4.528 0.000 0.000 0.000 10.887" Properties=species:S:1:pos:R:3 pbc="T T T"
Ac 0.000 0.000 0.000
Ac 0.000 2.264 5.443
La 2.272 0.000 7.780
La 2.272 2.264 2.337
Ga 2.272 0.000 4.549
Ga 2.272 2.264 9.992
Pt 0.000 0.000 3.089
Pt 0.000 2.264 8.533
```

Properties
* excess energy over the best structure of this formula in the dataset: 0.000 eV per atom
* total magnetization: 0.000 μB per atom
* ΔH_f (0 K): -811 meV per atom

***

# 4
VASP calculation (PBE) on crystalline NaSbS2N at its relaxed geometry.

extended XYZ file:
```
5
Lattice="5.041 0.000 0.000 0.000 5.041 0.000 0.000 0.000 4.152" Properties=species:S:1:pos:R:3 pbc="T T T"
Na 0.000 0.000 0.000
Sb 2.521 2.521 2.076
S 0.000 2.521 0.000
S 2.521 0.000 0.000
N 0.000 0.000 2.076
```

Properties
* excess energy over the best structure of this formula in the dataset: 0.811 eV per atom
* total magnetization: 0.610 μB per atom
* formation energy (no corrections): 1.16 eV/atom

***

# 5
VASP calculation (PBE) on crystalline AcLa2Dy3Y6 at its relaxed geometry.

extended XYZ file:
```
12
Lattice="3.152 -5.459 0.000 3.152 5.459 0.000 -2.099 0.000 11.750" Properties=species:S:1:pos:R:3 pbc="T T T"
Ac 0.000 0.000 0.000
La 3.152 1.819 0.000
La 3.152 -1.819 0.000
Dy 2.102 3.638 5.875
Dy 2.102 0.000 5.875
Dy 2.102 -3.638 5.875
Y 1.061 1.827 3.018
Y 0.004 0.000 8.730
Y 1.061 -1.827 3.018
Y 3.144 1.827 8.732
Y 4.200 0.000 3.020
Y 3.144 -1.827 8.732
```

Properties
* total magnetization: 0.000 μB per atom
* ΔH_f (0 K): 30 meV per atom

***

# 6
VASP calculation (PBE) on crystalline AgHgPb2Se4 at its relaxed geometry.

extended XYZ file:
```
8
Lattice="7.158 0.000 0.000 0.000 4.208 0.000 -2.525 0.000 6.848" Properties=species:S:1:pos:R:3 pbc="T T T"
Ag 0.000 0.000 0.000
Hg -1.263 2.104 3.424
Pb 2.316 0.000 3.424
Pb 3.579 2.104 0.000
Se 1.031 2.104 1.638
Se -0.234 0.000 5.108
Se 4.867 0.000 1.740
Se 3.601 2.104 5.211
```

Properties
* total magnetization: 0.000 μB per atom
* formation energy (no corrections): -0.27 eV/atom